1.
SrSiO3, relaxed, DFT PBE-GGA; raw formation energy = -2694 meV/atom
1.0
3.6611 0.0000 0.0000
0.0000 3.6611 0.0000
0.0000 0.0000 3.6611
Sr Si O
1 1 3
Direct
0.0000 0.0000 0.0000
0.5000 0.5000 0.5000
0.0000 0.5000 0.5000
0.5000 0.0000 0.5000
0.5000 0.5000 0.0000

2.
Nd2MgBr, relaxed, DFT PBE-GGA; raw formation energy = -301 meV/atom; offset from the most stable computed form = 20.32 kJ per mole of atoms
1.0
3.5323 0.0000 0.0000
-1.7662 3.0591 0.0000
0.0000 0.0000 34.8195
Nd Mg Br
6 3 3
Direct
0.0000 0.0000 0.0968
0.0000 0.0000 0.9032
0.3333 0.6667 0.5699
0.3333 0.6667 0.7635
0.6667 0.3333 0.2365
0.6667 0.3333 0.4301
0.0000 0.0000 0.0000
0.3333 0.6667 0.6667
0.6667 0.3333 0.3333
0.0000 0.0000 0.5000
0.3333 0.6667 0.1667
0.6667 0.3333 0.8333

3.
Tl5N2F4, relaxed, DFT PBE-GGA; raw formation energy = -1188 meV/atom
1.0
3.9126 0.0000 0.0000
1.7601 5.8088 0.0000
1.6495 1.6421 12.6670
Tl N F
5 2 4
Direct
0.0000 0.0000 0.0000
0.3423 0.0209 0.3032
0.3472 0.4536 0.8691
0.6528 0.5464 0.1309
0.6577 0.9791 0.6968
0.0481 0.4035 0.5059
0.9519 0.5965 0.4941
0.2788 0.7069 0.7002
0.3616 0.1990 0.1120
0.6384 0.8010 0.8880
0.7212 0.2931 0.2998

4.
Pd7Pt2Au3, relaxed, DFT PBE-GGA; uncorrected energy = -56.98 eV per cell
1.0
4.6667 0.0000 0.0000
0.0000 2.7638 0.0000
-0.5387 0.0000 15.5126
Pd Pt Au
7 2 3
Direct
0.0000 0.0000 0.0000
0.2037 0.5000 0.1936
0.2546 0.5000 0.5393
0.3032 0.0000 0.8548
0.6968 0.0000 0.1452
0.7454 0.5000 0.4607
0.7963 0.5000 0.8064
0.2784 0.5000 0.7070
0.7216 0.5000 0.2930
0.2326 0.0000 0.3696
0.5000 0.5000 0.0000
0.7674 0.0000 0.6304

5.
LiMnAs, relaxed, DFT PBE-GGA; offset from the most stable computed form = 16.83 kJ per mole of atoms
1.0
6.0072 0.0000 0.0000
0.0000 6.0072 0.0000
0.0000 0.0000 6.0072
Li Mn As
4 4 4
Direct
0.0000 0.0000 0.0000
0.0000 0.5000 0.5000
0.5000 0.0000 0.5000
0.5000 0.5000 0.0000
0.0000 0.0000 0.5000
0.0000 0.5000 0.0000
0.5000 0.0000 0.0000
0.5000 0.5000 0.5000
0.2500 0.2500 0.7500
0.2500 0.7500 0.2500
0.7500 0.2500 0.2500
0.7500 0.7500 0.7500

6.
ZrNb3Br, relaxed, DFT PBE-GGA; raw formation energy = 1763 meV/atom; offset from the most stable computed form = 88.12 kJ per mole of atoms
1.0
5.0343 0.0000 0.0000
0.0000 5.0343 0.0000
0.0000 0.0000 5.0343
Zr Nb Br
1 3 1
Direct
0.0000 0.0000 0.0000
0.0000 0.0000 0.5000
0.0000 0.5000 0.0000
0.5000 0.0000 0.0000
0.5000 0.5000 0.5000

7.
Y3InIr8, relaxed, DFT PBE-GGA; uncorrected energy = -100.10 eV per cell
1.0
2.6722 1.5428 8.7410
-2.6722 1.5428 8.7410
0.0000 -3.0855 8.7410
Y In Ir
3 1 8
Direct
0.0000 0.0000 0.0000
0.1274 0.1274 0.1274
0.5065 0.5065 0.5065
0.6294 0.6294 0.6294
0.0651 0.5656 0.5656
0.0655 0.0655 0.5648
0.0655 0.5648 0.0655
0.3151 0.3151 0.3151
0.5648 0.0655 0.0655
0.5656 0.0651 0.5656
0.5656 0.5656 0.0651
0.8151 0.8151 0.8151

8.
AcAuO, relaxed, DFT PBE-GGA; raw formation energy = -1992 meV/atom; offset from the most stable computed form = 0.00 kJ per mole of atoms
1.0
4.1501 0.0000 0.0000
-2.0750 3.5941 0.0000
0.0000 0.0000 9.4593
Ac Au O
2 2 2
Direct
0.3333 0.6667 0.3249
0.6667 0.3333 0.6751
0.3333 0.6667 0.9219
0.6667 0.3333 0.0781
0.3333 0.6667 0.5908
0.6667 0.3333 0.4092

9.
CeHg3Bi, relaxed, DFT PBE-GGA; uncorrected energy = -47.26 eV per cell
1.0
10.0097 0.0000 0.0000
0.0000 6.8102 0.0000
0.0000 0.0000 8.3631
Ce Hg Bi
4 12 4
Direct
0.0764 0.2500 0.1803
0.4236 0.7500 0.6803
0.5764 0.2500 0.3197
0.9236 0.7500 0.8197
0.0914 0.7500 0.1540
0.1889 0.0115 0.8490
0.1889 0.4885 0.8490
0.3111 0.5115 0.3490
0.3111 0.9885 0.3490
0.4086 0.2500 0.6540
0.5914 0.7500 0.3460
0.6889 0.0115 0.6510
0.6889 0.4885 0.6510
0.8111 0.5115 0.1510
0.8111 0.9885 0.1510
0.9086 0.2500 0.8460
0.0000 0.0000 0.5000
0.0000 0.5000 0.5000
0.5000 0.0000 0.0000
0.5000 0.5000 0.0000

10.
CaGa3Ni3, relaxed, DFT PBE-GGA; uncorrected energy = -57.72 eV per cell
1.0
6.5052 0.0000 0.0000
0.0000 6.5052 0.0000
0.0000 0.0000 6.5052
Ca Ga Ni
2 6 6
Direct
0.0000 0.0000 0.0000
0.5000 0.5000 0.5000
0.0000 0.2500 0.5000
0.0000 0.7500 0.5000
0.2500 0.5000 0.0000
0.5000 0.0000 0.2500
0.5000 0.0000 0.7500
0.7500 0.5000 0.0000
0.0000 0.5000 0.2500
0.0000 0.5000 0.7500
0.2500 0.0000 0.5000
0.5000 0.2500 0.0000
0.5000 0.7500 0.0000
0.7500 0.0000 0.5000

11.
NbFeSb, relaxed, DFT PBE-GGA; raw formation energy = -352 meV/atom
1.0
5.9665 0.0000 0.0000
0.0000 5.9665 0.0000
0.0000 0.0000 5.9665
Nb Fe Sb
4 4 4
Direct
0.0000 0.0000 0.0000
0.0000 0.5000 0.5000
0.5000 0.0000 0.5000
0.5000 0.5000 0.0000
0.2500 0.2500 0.7500
0.2500 0.7500 0.2500
0.7500 0.2500 0.2500
0.7500 0.7500 0.7500
0.0000 0.0000 0.5000
0.0000 0.5000 0.0000
0.5000 0.0000 0.0000
0.5000 0.5000 0.5000

12.
Rb5NpO8, relaxed, DFT PBE-GGA; raw formation energy = -1688 meV/atom
1.0
-4.0248 4.0248 4.2730
4.0248 -4.0248 4.2730
4.0248 4.0248 -4.2730
Rb Np O
5 1 8
Direct
0.0000 0.0000 0.0000
0.1358 0.4694 0.8850
0.5306 0.4156 0.6663
0.5844 0.2507 0.1150
0.7493 0.8642 0.3337
0.2500 0.7500 0.5000
0.0149 0.3984 0.4451
0.1989 0.0085 0.6666
0.3419 0.5323 0.3334
0.4302 0.9851 0.3836
0.4677 0.8011 0.8096
0.6016 0.0467 0.6164
0.9533 0.5698 0.5549
0.9915 0.6581 0.1904

| no. | theoretical density (g cm⁻³) |
| --- | --- |
| 1 | 5.5 |
| 2 | 5.2 |
| 3 | 6.5 |
| 4 | 14.3 |
| 5 | 4.2 |
| 6 | 5.9 |
| 7 | 14.7 |
| 8 | 10.4 |
| 9 | 11.1 |
| 10 | 5.1 |
| 11 | 8.5 |
| 12 | 4.8 |